MnHgNO2 | GGA+U | optimized geometry

The space group is P4/mmm (No. 123) and the conventional cell measures 3.951, 3.951 and 3.829 Å, with angles of 90.00, 90.00 and 90.00 degrees. Symmetry generates all atoms from Mn at (0.000, 0.000, 0.000), Hg at (0.500, 0.500, 0.500), N at (0.000, 0.000, 0.500) and O at (0.000, 0.500, 0.000).

MnHgNO2 | GGA+U | optimized geometry

The space group is P4/mmm (No. 123) and the conventional cell measures 4.170, 4.170 and 3.949 Å, with angles of 90.00, 90.00 and 90.00 degrees. Symmetry generates all atoms from Mn at (0.000, 0.000, 0.000), Hg at (0.500, 0.500, 0.000), N at (0.500, 0.500, 0.500) and O at (0.000, 0.500, 0.500).

Number 1: total magnetization 1.9 μB/f.u., total energy -5.086 eV per atom. Number 2: total magnetization 5.0 μB/f.u., total energy -4.193 eV per atom.